[1]
VASP calculation (PBE with a Hubbard U) on a relaxed SrFeSnWO6 crystal.

Its space-group type is F-43m, No. 216. Its total DFT energy (no corrections) is -6.70 eV per atom.

Unit cell a=5.6791 b=5.6791 c=5.6791 alpha=60.00 beta=60.00 gamma=60.00
With the nearest neighbours (Å) after each atom.
Sites, in units of the cell vectors:
Sr: 0.0000 0.0000 0.0000  12 O 2.84
Fe: 0.2500 0.2500 0.2500  6 O 2.04
Sn: 0.5000 0.5000 0.5000  12 O 2.84
W: 0.7500 0.7500 0.7500  6 O 1.97
O: 0.5045 0.5045 0.9955  1 W 1.97, 1 Fe 2.04
O: 0.5045 0.9955 0.5045  1 W 1.97, 1 Fe 2.04
O: 0.5045 0.9955 0.9955  1 W 1.97, 1 Fe 2.04
O: 0.9955 0.5045 0.5045  1 W 1.97, 1 Fe 2.04
O: 0.9955 0.5045 0.9955  1 W 1.97, 1 Fe 2.04
O: 0.9955 0.9955 0.5045  1 W 1.97, 1 Fe 2.04

[2]
VASP calculation (PBE with a Hubbard U) on a relaxed TaFe2SnO6 crystal.

Its space-group type is P1, No. 1. Its total DFT energy (no corrections) is -7.52 eV per atom.

Unit cell a=5.4040 b=5.4120 c=5.7657 alpha=62.67 beta=62.81 gamma=60.19
With the nearest neighbours (Å) after each atom.
Sites, in units of the cell vectors:
Ta: 0.0000 0.0000 0.0000  6 O 1.95-2.12
Fe: 0.3037 0.2898 0.1143  5 O 2.05-2.29
Fe: 0.7963 0.7936 0.6229  5 O 2.06-2.26
Sn: 0.5147 0.5026 0.4751  4 O 2.14-2.37
O: 0.0737 0.7402 0.8094  1 Ta 1.95, 1 Fe 2.06
O: 0.2048 0.6047 0.2785  1 Fe 2.05, 1 Ta 2.12, 1 Sn 2.15
O: 0.3670 0.0848 0.8235  1 Ta 1.95
O: 0.6224 0.8975 0.3021  1 Ta 2.12, 2 Fe 2.15-2.17, 1 Sn 2.16
O: 0.7352 0.3664 0.8102  1 Ta 1.95
O: 0.9099 0.1899 0.2880  1 Ta 2.09, 2 Fe 2.13-2.26, 1 Sn 2.14

[3]
VASP calculation (PBE with a Hubbard U) on a relaxed TaFeSnO2 crystal.

Its space-group type is P4/mmm, No. 123. Its total DFT energy (no corrections) is -7.15 eV per atom.

Unit cell a=3.9637 b=3.9637 c=6.1662 alpha=90.00 beta=90.00 gamma=90.00
With the nearest neighbours (Å) after each atom.
Sites, in units of the cell vectors:
Ta: 0.0000 0.0000 0.0000  4 O 1.98
Fe: 0.0000 0.0000 0.5000  4 Sn 2.80, 2 Ta 3.08
Sn: 0.5000 0.5000 0.5000  4 Fe 2.80
O: 0.0000 0.5000 0.0000  2 Ta 1.98
O: 0.5000 0.0000 0.0000  2 Ta 1.98